The following is a DFT calculation (GGA-PBEsol) of crystalline FeNiPt2 at its relaxed geometry.

Lattice parameters (Å, degrees): 2.676 3.633 5.392 90.00 90.00 90.00
Space group Pmmm (No. 47)
Symmetry-distinct sites (fractional):
Fe1 0.000 0.000 0.000 x1
Ni1 0.000 0.000 0.500 x1
Pt1 0.500 0.500 0.252 x2

## Properties
- VASP energy (eV/atom) = -7.430
- mass density (g cm⁻³) = 16.0
- density of states at the Fermi level (states/eV per cell) = 4.839

=====

The following is a DFT calculation (GGA-PBEsol) of crystalline MgSbMo at its relaxed geometry.

Lattice parameters (Å, degrees): 6.370 6.370 6.370 90.00 90.00 90.00
Space group F-43m (No. 216)
Symmetry-distinct sites (fractional):
Mg1 0.000 0.000 0.000 x4
Sb1 0.000 0.000 0.500 x4
Mo1 0.250 0.250 0.750 x4

## Properties
- mass density (g cm⁻³) = 6.2
- formation energy without anion corrections (meV/atom) = 533.7
- ΔE to the lowest computed polymorph (kJ per mole of atoms) = 21.18
- density of states at the Fermi level (states/eV per cell) = 13.700

=====

The following is a DFT calculation (GGA-PBEsol) of crystalline Mg3SnAu at its relaxed geometry.

Lattice parameters (Å, degrees): 5.036 5.036 5.036 90.00 90.00 90.00
Space group Pm-3m (No. 221)
Symmetry-distinct sites (fractional):
Mg1 0.000 0.000 0.500 x3
Sn1 0.500 0.500 0.500 x1
Au1 0.000 0.000 0.000 x1

## Properties
- VASP energy (eV/atom) = -2.748
- mass density (g cm⁻³) = 5.1
- density of states at the Fermi level (states/eV per cell) = 2.010